<w>
# PBE-GGA PaTi4Nb, optimized geometry
data_PaTi4Nb
_symmetry_space_group_name_H-M 'F -4 3 m'
_symmetry_Int_Tables_number 216
_symmetry_space_group_name_Hall 'F -4 2 3'
_cell_length_a 7.600
_cell_length_b 7.600
_cell_length_c 7.600
_cell_angle_alpha 90.00
_cell_angle_beta 90.00
_cell_angle_gamma 90.00
loop_
_atom_site_label
_atom_site_type_symbol
_atom_site_fract_x
_atom_site_fract_y
_atom_site_fract_z
Pa1 Pa 0.000 0.000 0.000
Ti1 Ti 0.125 0.125 0.625
Nb1 Nb 0.250 0.250 0.250
# Volume   438.94 Å³/cell

***

<x>
# PBE-GGA PaTi4Nb, optimized geometry
data_PaTi4Nb
_symmetry_space_group_name_H-M 'P -1'
_symmetry_Int_Tables_number 2
_cell_length_a 2.981
_cell_length_b 8.058
_cell_length_c 9.969
_cell_angle_alpha 111.17
_cell_angle_beta 91.96
_cell_angle_gamma 90.27
loop_
_symmetry_equiv_pos_as_xyz
'x,y,z'
'-x,-y,-z'
loop_
_atom_site_label
_atom_site_type_symbol
_atom_site_fract_x
_atom_site_fract_y
_atom_site_fract_z
Pa1 Pa 0.240 0.376 0.372
Ti1 Ti 0.011 0.220 0.888
Ti2 Ti 0.015 0.260 0.616
Ti3 Ti 0.462 0.487 0.133
Ti4 Ti 0.479 0.024 0.363
Nb1 Nb 0.290 0.874 0.879
# Volume   223.17 Å³/cell

***

Relative energies, eV/atom: <w> 0.114; <x> 0.000.

***

<w>
# PBE-GGA Pa2NbTl, optimized geometry
data_Pa2NbTl
_symmetry_space_group_name_H-M 'P 4/m m m'
_symmetry_Int_Tables_number 123
_symmetry_space_group_name_Hall '-P 4 2'
_cell_length_a 4.377
_cell_length_b 4.377
_cell_length_c 4.828
_cell_angle_alpha 90.00
_cell_angle_beta 90.00
_cell_angle_gamma 90.00
loop_
_atom_site_label
_atom_site_type_symbol
_atom_site_fract_x
_atom_site_fract_y
_atom_site_fract_z
Pa1 Pa 0.000 0.500 0.000
Nb1 Nb 0.000 0.000 0.500
Tl1 Tl 0.500 0.500 0.500
# Volume   92.50 Å³/cell

***

<x>
# PBE-GGA Pa2NbTl, optimized geometry
data_Pa2NbTl
_symmetry_space_group_name_H-M 'R -3 m'
_symmetry_Int_Tables_number 166
_symmetry_space_group_name_Hall '-R 3 2"'
_cell_length_a 3.9288
_cell_length_b 3.9288
_cell_length_c 24.4685
_cell_angle_alpha 90.00
_cell_angle_beta 90.00
_cell_angle_gamma 120.00
loop_
_atom_site_label
_atom_site_type_symbol
_atom_site_fract_x
_atom_site_fract_y
_atom_site_fract_z
Pa1 Pa 0.0000 0.0000 0.2328
Nb1 Nb 0.0000 0.0000 0.5000
Tl1 Tl 0.0000 0.0000 0.0000
# Volume   327.08 Å³/cell

***

Relative energies, eV/atom: <w> 0.000; <x> 0.427.

***

<w>
# PBE-GGA PaNb2V, optimized geometry
data_PaNb2V
_symmetry_space_group_name_H-M 'P 4/m m m'
_symmetry_Int_Tables_number 123
_symmetry_space_group_name_Hall '-P 4 2'
_cell_length_a 3.355
_cell_length_b 3.355
_cell_length_c 6.611
_cell_angle_alpha 90.00
_cell_angle_beta 90.00
_cell_angle_gamma 90.00
loop_
_atom_site_label
_atom_site_type_symbol
_atom_site_fract_x
_atom_site_fract_y
_atom_site_fract_z
Pa1 Pa 0.000 0.000 0.000
Nb1 Nb 0.500 0.500 0.266
V1 V 0.000 0.000 0.500
# Volume   74.41 Å³/cell

***

<x>
# PBE-GGA PaNb2V, optimized geometry
data_PaNb2V
_symmetry_space_group_name_H-M 'R -3 m'
_symmetry_Int_Tables_number 166
_symmetry_space_group_name_Hall '-R 3 2"'
_cell_length_a 3.0401
_cell_length_b 3.0401
_cell_length_c 28.9479
_cell_angle_alpha 90.00
_cell_angle_beta 90.00
_cell_angle_gamma 120.00
loop_
_atom_site_label
_atom_site_type_symbol
_atom_site_fract_x
_atom_site_fract_y
_atom_site_fract_z
Pa1 Pa 0.0000 0.0000 0.0000
Nb1 Nb 0.0000 0.0000 0.0975
V1 V 0.0000 0.0000 0.5000
# Volume   231.69 Å³/cell

***

Relative energies, eV/atom: <w> 0.000; <x> 0.254.

***

<w>
# PBE-GGA PaNbZn2, optimized geometry
data_PaNbZn2
_symmetry_space_group_name_H-M 'R -3 m'
_symmetry_Int_Tables_number 166
_symmetry_space_group_name_Hall '-R 3 2"'
_cell_length_a 2.9748
_cell_length_b 2.9748
_cell_length_c 29.7505
_cell_angle_alpha 90.00
_cell_angle_beta 90.00
_cell_angle_gamma 120.00
loop_
_atom_site_label
_atom_site_type_symbol
_atom_site_fract_x
_atom_site_fract_y
_atom_site_fract_z
Pa1 Pa 0.0000 0.0000 0.0000
Nb1 Nb 0.0000 0.0000 0.5000
Zn1 Zn 0.0000 0.0000 0.2444
# Volume   228.01 Å³/cell

***

<x>
# PBE-GGA PaNbZn2, optimized geometry
data_PaNbZn2
_symmetry_space_group_name_H-M 'P 4/m m m'
_symmetry_Int_Tables_number 123
_symmetry_space_group_name_Hall '-P 4 2'
_cell_length_a 2.954
_cell_length_b 2.954
_cell_length_c 8.360
_cell_angle_alpha 90.00
_cell_angle_beta 90.00
_cell_angle_gamma 90.00
loop_
_atom_site_label
_atom_site_type_symbol
_atom_site_fract_x
_atom_site_fract_y
_atom_site_fract_z
Pa1 Pa 0.000 0.000 0.000
Nb1 Nb 0.000 0.000 0.500
Zn1 Zn 0.500 0.500 0.274
# Volume   72.94 Å³/cell

***

Relative energies, eV/atom: <w> 0.128; <x> 0.000.

***

<w>
# PBE-GGA ZrPaNb2, optimized geometry
data_ZrPaNb2
_symmetry_space_group_name_H-M 'P 4/m m m'
_symmetry_Int_Tables_number 123
_symmetry_space_group_name_Hall '-P 4 2'
_cell_length_a 3.462
_cell_length_b 3.462
_cell_length_c 6.989
_cell_angle_alpha 90.00
_cell_angle_beta 90.00
_cell_angle_gamma 90.00
loop_
_atom_site_label
_atom_site_type_symbol
_atom_site_fract_x
_atom_site_fract_y
_atom_site_fract_z
Zr1 Zr 0.000 0.000 0.000
Pa1 Pa 0.000 0.000 0.500
Nb1 Nb 0.500 0.500 0.267
# Volume   83.77 Å³/cell

***

<x>
# PBE-GGA ZrPaNb2, optimized geometry
data_ZrPaNb2
_symmetry_space_group_name_H-M 'F m -3 m'
_symmetry_Int_Tables_number 225
_symmetry_space_group_name_Hall '-F 4 2 3'
_cell_length_a 6.951
_cell_length_b 6.951
_cell_length_c 6.951
_cell_angle_alpha 90.00
_cell_angle_beta 90.00
_cell_angle_gamma 90.00
loop_
_atom_site_label
_atom_site_type_symbol
_atom_site_fract_x
_atom_site_fract_y
_atom_site_fract_z
Zr1 Zr 0.000 0.000 0.000
Pa1 Pa 0.000 0.000 0.500
Nb1 Nb 0.250 0.250 0.250
# Volume   335.87 Å³/cell

***

Relative energies, eV/atom: <w> 0.027; <x> 0.000.

***

<w>
# PBE-GGA NbPdPb2, optimized geometry
data_NbPdPb2
_symmetry_space_group_name_H-M 'P 4 m m'
_symmetry_Int_Tables_number 99
_cell_length_a 3.219
_cell_length_b 3.219
_cell_length_c 8.917
_cell_angle_alpha 90.00
_cell_angle_beta 90.00
_cell_angle_gamma 90.00
loop_
_symmetry_equiv_pos_as_xyz
'x,y,z'
'-y,x,z'
'-x,-y,z'
'y,-x,z'
'-x,y,z'
'y,x,z'
'x,-y,z'
'-y,-x,z'
loop_
_atom_site_label
_atom_site_type_symbol
_atom_site_fract_x
_atom_site_fract_y
_atom_site_fract_z
Nb1 Nb 0.000 0.000 0.000
Pd1 Pd 0.500 0.500 0.824
Pb1 Pb 0.000 0.000 0.596
Pb2 Pb 0.500 0.500 0.251
# Volume   92.41 Å³/cell

***

<x>
# PBE-GGA NbPdPb2, optimized geometry
data_NbPdPb2
_symmetry_space_group_name_H-M 'I -4 2 d'
_symmetry_Int_Tables_number 122
_symmetry_space_group_name_Hall 'I -4 2bw'
_cell_length_a 7.641
_cell_length_b 7.641
_cell_length_c 6.301
_cell_angle_alpha 90.00
_cell_angle_beta 90.00
_cell_angle_gamma 90.00
loop_
_atom_site_label
_atom_site_type_symbol
_atom_site_fract_x
_atom_site_fract_y
_atom_site_fract_z
Nb1 Nb 0.000 0.000 0.000
Pd1 Pd 0.000 0.000 0.500
Pb1 Pb 0.228 0.250 0.625
# Volume   367.88 Å³/cell

***

<y>
# PBE-GGA NbPdPb2, optimized geometry
data_NbPdPb2
_symmetry_space_group_name_H-M 'C 1 m 1'
_symmetry_Int_Tables_number 8
_cell_length_a 10.824
_cell_length_b 3.439
_cell_length_c 9.804
_cell_angle_alpha 90.00
_cell_angle_beta 90.71
_cell_angle_gamma 90.00
loop_
_symmetry_equiv_pos_as_xyz
'x,y,z'
'x,-y,z'
'x+1/2,y+1/2,z'
'x+1/2,-y+1/2,z'
loop_
_atom_site_label
_atom_site_type_symbol
_atom_site_fract_x
_atom_site_fract_y
_atom_site_fract_z
Nb1 Nb 0.000 0.000 0.000
Nb2 Nb 0.071 0.500 0.799
Pd1 Pd 0.102 0.000 0.272
Pd2 Pd 0.200 0.500 0.070
Pb1 Pb 0.160 0.500 0.488
Pb2 Pb 0.293 0.000 0.863
Pb3 Pb 0.377 0.000 0.237
Pb4 Pb 0.425 0.500 0.594
# Volume   364.94 Å³/cell

***

Relative energies, eV/atom: <w> 0.000; <x> 0.411; <y> 0.025.

***

<w>
# PBE-GGA NbPd2Pb2, optimized geometry
data_NbPd2Pb2
_symmetry_space_group_name_H-M 'I 4/m m m'
_symmetry_Int_Tables_number 139
_symmetry_space_group_name_Hall '-I 4 2'
_cell_length_a 4.252
_cell_length_b 4.252
_cell_length_c 12.300
_cell_angle_alpha 90.00
_cell_angle_beta 90.00
_cell_angle_gamma 90.00
loop_
_atom_site_label
_atom_site_type_symbol
_atom_site_fract_x
_atom_site_fract_y
_atom_site_fract_z
Nb1 Nb 0.000 0.000 0.000
Pd1 Pd 0.000 0.000 0.398
Pb1 Pb 0.000 0.500 0.250
# Volume   222.34 Å³/cell

***

<x>
# PBE-GGA NbPd2Pb2, optimized geometry
data_NbPd2Pb2
_symmetry_space_group_name_H-M 'P 4/m b m'
_symmetry_Int_Tables_number 127
_symmetry_space_group_name_Hall '-P 4 2ab'
_cell_length_a 7.679
_cell_length_b 7.679
_cell_length_c 3.456
_cell_angle_alpha 90.00
_cell_angle_beta 90.00
_cell_angle_gamma 90.00
loop_
_atom_site_label
_atom_site_type_symbol
_atom_site_fract_x
_atom_site_fract_y
_atom_site_fract_z
Nb1 Nb 0.000 0.000 0.000
Pd1 Pd 0.127 0.373 0.000
Pb1 Pb 0.175 0.675 0.500
# Volume   203.82 Å³/cell

***

Relative energies, eV/atom: <w> 0.401; <x> 0.000.

***

<w>
# PBE-GGA RbNbPb2, optimized geometry
data_RbNbPb2
_symmetry_space_group_name_H-M 'I -4 2 d'
_symmetry_Int_Tables_number 122
_symmetry_space_group_name_Hall 'I -4 2bw'
_cell_length_a 6.847
_cell_length_b 6.847
_cell_length_c 16.930
_cell_angle_alpha 90.00
_cell_angle_beta 90.00
_cell_angle_gamma 90.00
loop_
_atom_site_label
_atom_site_type_symbol
_atom_site_fract_x
_atom_site_fract_y
_atom_site_fract_z
Rb1 Rb 0.000 0.000 0.000
Nb1 Nb 0.000 0.000 0.500
Pb1 Pb 0.030 0.250 0.625
# Volume   793.72 Å³/cell

***

<x>
# PBE-GGA RbNbPb2, optimized geometry
data_RbNbPb2
_symmetry_space_group_name_H-M 'F m -3 m'
_symmetry_Int_Tables_number 225
_symmetry_space_group_name_Hall '-F 4 2 3'
_cell_length_a 7.756
_cell_length_b 7.756
_cell_length_c 7.756
_cell_angle_alpha 90.00
_cell_angle_beta 90.00
_cell_angle_gamma 90.00
loop_
_atom_site_label
_atom_site_type_symbol
_atom_site_fract_x
_atom_site_fract_y
_atom_site_fract_z
Rb1 Rb 0.000 0.000 0.000
Nb1 Nb 0.000 0.000 0.500
Pb1 Pb 0.250 0.250 0.250
# Volume   466.52 Å³/cell

***

Relative energies, eV/atom: <w> 0.000; <x> 0.131.

***

<w>
# PBE-GGA Rb2NbPb2, optimized geometry
data_Rb2NbPb2
_symmetry_space_group_name_H-M 'I 4/m m m'
_symmetry_Int_Tables_number 139
_symmetry_space_group_name_Hall '-I 4 2'
_cell_length_a 4.327
_cell_length_b 4.327
_cell_length_c 17.045
_cell_angle_alpha 90.00
_cell_angle_beta 90.00
_cell_angle_gamma 90.00
loop_
_atom_site_label
_atom_site_type_symbol
_atom_site_fract_x
_atom_site_fract_y
_atom_site_fract_z
Rb1 Rb 0.000 0.500 0.250
Nb1 Nb 0.000 0.000 0.000
Pb1 Pb 0.000 0.000 0.415
# Volume   319.19 Å³/cell

***

<x>
# PBE-GGA Rb2NbPb2, optimized geometry
data_Rb2NbPb2
_symmetry_space_group_name_H-M 'P 4/m b m'
_symmetry_Int_Tables_number 127
_symmetry_space_group_name_Hall '-P 4 2ab'
_cell_length_a 7.890
_cell_length_b 7.890
_cell_length_c 6.487
_cell_angle_alpha 90.00
_cell_angle_beta 90.00
_cell_angle_gamma 90.00
loop_
_atom_site_label
_atom_site_type_symbol
_atom_site_fract_x
_atom_site_fract_y
_atom_site_fract_z
Rb1 Rb 0.160 0.340 0.000
Nb1 Nb 0.000 0.000 0.500
Pb1 Pb 0.198 0.698 0.500
# Volume   403.84 Å³/cell

***

Relative energies, eV/atom: <w> 0.395; <x> 0.000.

***

<w>
# PBE-GGA RbNb3Pb, optimized geometry
data_RbNb3Pb
_symmetry_space_group_name_H-M 'P m -3 m'
_symmetry_Int_Tables_number 221
_symmetry_space_group_name_Hall '-P 4 2 3'
_cell_length_a 5.373
_cell_length_b 5.373
_cell_length_c 5.373
_cell_angle_alpha 90.00
_cell_angle_beta 90.00
_cell_angle_gamma 90.00
loop_
_atom_site_label
_atom_site_type_symbol
_atom_site_fract_x
_atom_site_fract_y
_atom_site_fract_z
Rb1 Rb 0.000 0.000 0.000
Nb1 Nb 0.000 0.500 0.500
Pb1 Pb 0.500 0.500 0.500
# Volume   155.10 Å³/cell

***

<x>
# PBE-GGA RbNb3Pb, optimized geometry
data_RbNb3Pb
_symmetry_space_group_name_H-M 'P m -3 m'
_symmetry_Int_Tables_number 221
_symmetry_space_group_name_Hall '-P 4 2 3'
_cell_length_a 4.883
_cell_length_b 4.883
_cell_length_c 4.883
_cell_angle_alpha 90.00
_cell_angle_beta 90.00
_cell_angle_gamma 90.00
loop_
_atom_site_label
_atom_site_type_symbol
_atom_site_fract_x
_atom_site_fract_y
_atom_site_fract_z
Rb1 Rb 0.000 0.000 0.000
Nb1 Nb 0.000 0.000 0.500
Pb1 Pb 0.500 0.500 0.500
# Volume   116.44 Å³/cell

***

Relative energies, eV/atom: <w> 0.000; <x> 0.479.

***

<w>
# PBE-GGA RbNb2Pb2, optimized geometry
data_RbNb2Pb2
_symmetry_space_group_name_H-M 'P 4/m b m'
_symmetry_Int_Tables_number 127
_symmetry_space_group_name_Hall '-P 4 2ab'
_cell_length_a 9.312
_cell_length_b 9.312
_cell_length_c 3.068
_cell_angle_alpha 90.00
_cell_angle_beta 90.00
_cell_angle_gamma 90.00
loop_
_atom_site_label
_atom_site_type_symbol
_atom_site_fract_x
_atom_site_fract_y
_atom_site_fract_z
Rb1 Rb 0.000 0.000 0.000
Nb1 Nb 0.100 0.400 0.500
Pb1 Pb 0.180 0.680 0.000
# Volume   266.06 Å³/cell

***

<x>
# PBE-GGA RbNb2Pb2, optimized geometry
data_RbNb2Pb2
_symmetry_space_group_name_H-M 'I 4/m m m'
_symmetry_Int_Tables_number 139
_symmetry_space_group_name_Hall '-I 4 2'
_cell_length_a 3.782
_cell_length_b 3.782
_cell_length_c 20.860
_cell_angle_alpha 90.00
_cell_angle_beta 90.00
_cell_angle_gamma 90.00
loop_
_atom_site_label
_atom_site_type_symbol
_atom_site_fract_x
_atom_site_fract_y
_atom_site_fract_z
Rb1 Rb 0.000 0.000 0.000
Nb1 Nb 0.000 0.500 0.250
Pb1 Pb 0.000 0.000 0.368
# Volume   298.34 Å³/cell

***

Relative energies, eV/atom: <w> 0.183; <x> 0.000.

***

<w>
# PBE-GGA NbRePb3, optimized geometry
data_NbRePb3
_symmetry_space_group_name_H-M 'P m -3 m'
_symmetry_Int_Tables_number 221
_symmetry_space_group_name_Hall '-P 4 2 3'
_cell_length_a 5.485
_cell_length_b 5.485
_cell_length_c 5.485
_cell_angle_alpha 90.00
_cell_angle_beta 90.00
_cell_angle_gamma 90.00
loop_
_atom_site_label
_atom_site_type_symbol
_atom_site_fract_x
_atom_site_fract_y
_atom_site_fract_z
Nb1 Nb 0.000 0.000 0.000
Re1 Re 0.500 0.500 0.500
Pb1 Pb 0.000 0.000 0.500
# Volume   165.01 Å³/cell

***

<x>
# PBE-GGA NbRePb3, optimized geometry
data_NbRePb3
_symmetry_space_group_name_H-M 'P m -3 m'
_symmetry_Int_Tables_number 221
_symmetry_space_group_name_Hall '-P 4 2 3'
_cell_length_a 5.334
_cell_length_b 5.334
_cell_length_c 5.334
_cell_angle_alpha 90.00
_cell_angle_beta 90.00
_cell_angle_gamma 90.00
loop_
_atom_site_label
_atom_site_type_symbol
_atom_site_fract_x
_atom_site_fract_y
_atom_site_fract_z
Nb1 Nb 0.000 0.000 0.000
Re1 Re 0.500 0.500 0.500
Pb1 Pb 0.000 0.500 0.500
# Volume   151.72 Å³/cell

***

Relative energies, eV/atom: <w> 0.261; <x> 0.000.